No. 1
Below is an optimized crystal structure of ReRhIN2, with properties calculated at the PBE level.

Properties
ΔE to the lowest computed polymorph = 0.000 eV per atom
Formation energy without anion corrections = 0.8348 eV/atom

Cell: 3.8388 3.8388 5.9142 Å, 90.00 90.00 90.00°
Last column: nearest neighbours and their distance in Å.
Sites, in units of the cell vectors:
Rh1 0.5000 0.5000 0.5000  4 I 2.71
N1 0.0000 0.5000 0.0000  2 Re 1.92
N2 0.5000 0.0000 0.0000  2 Re 1.92
Re1 0.0000 0.0000 0.0000  4 N 1.92
I1 0.0000 0.0000 0.5000  4 Rh 2.71, 2 Re 2.96

No. 2
Below is an optimized crystal structure of SrSbOs2, with properties calculated at the PBE level.

Properties
Formation energy without anion corrections = 0.8707 eV/atom

Cell: 4.6624 4.6624 3.5444 Å, 90.00 90.00 90.00°
Last column: nearest neighbours and their distance in Å.
Sites, in units of the cell vectors:
Sb1 0.5000 0.0000 0.5000  8 Os 2.93
Os1 0.0000 0.0000 0.0000  4 Sb 2.93, 4 Sr 2.93
Os2 0.5000 0.5000 0.0000  4 Sb 2.93, 4 Sr 2.93
Sr1 0.0000 0.5000 0.5000  8 Os 2.93

No. 3
Below is an optimized crystal structure of NaCe2S3, with properties calculated at the PBE level.

Properties
Formation energy without anion corrections = -1.8105 eV/atom

Cell: 4.0508 5.7010 7.0864 Å, 113.72 106.61 90.00°
Last column: nearest neighbours and their distance in Å.
Sites, in units of the cell vectors:
S1 0.5000 0.0000 0.5000  2 Na 2.85, 4 Ce 2.86
S2 0.8282 0.3282 0.1564  4 Ce 2.85-2.86, 2 Na 2.93
S3 0.1718 0.6718 0.8436  4 Ce 2.85-2.86, 2 Na 2.93
Ce1 0.1639 0.1639 0.8279  6 S 2.85-2.86
Ce2 0.8361 0.8361 0.1721  6 S 2.85-2.86
Na1 0.5000 0.5000 0.5000  6 S 2.85-2.93

No. 4
Below is an optimized crystal structure of SrInGe, with properties calculated at the PBE level.

Cell: 3.7705 3.7705 6.4343 Å, 107.04 107.04 90.00°
Last column: nearest neighbours and their distance in Å.
Sites, in units of the cell vectors:
Ge1 0.9257 0.9257 0.8514  4 In 2.98
In1 0.3128 0.3128 0.6257  4 Ge 2.98
Sr1 0.6115 0.6115 0.2229  5 Ge 3.44-3.68, 5 In 3.50-3.56, 4 Sr 3.77

No. 5
Below is an optimized crystal structure of DySiAg, with properties calculated at the PBE level.

Properties
Formation energy without anion corrections = -0.5941 eV/atom

Cell: 7.0558 7.0558 4.1977 Å, 90.00 90.00 120.00°
Last column: nearest neighbours and their distance in Å.
Sites, in units of the cell vectors:
Ag1 0.2501 0.0000 0.0000  4 Si 2.69-2.74
Ag2 0.0000 0.2501 0.0000  4 Si 2.69-2.74
Ag3 0.7499 0.7499 0.0000  4 Si 2.69-2.74
Si1 0.6667 0.3333 0.0000  3 Ag 2.69, 6 Dy 2.98
Si2 0.0000 0.0000 0.5000  6 Ag 2.74, 3 Dy 2.95
Si3 0.3333 0.6667 0.0000  3 Ag 2.69, 6 Dy 2.98
Dy1 0.0000 0.5820 0.5000  5 Si 2.95-2.98, 2 Ag 3.15
Dy2 0.4180 0.4180 0.5000  5 Si 2.95-2.98, 2 Ag 3.15
Dy3 0.5820 0.0000 0.5000  5 Si 2.95-2.98, 2 Ag 3.15

No. 6
Below is an optimized crystal structure of LaMgMn, with properties calculated at the PBE level.

Cell: 5.0957 5.0957 5.0957 Å, 60.00 60.00 60.00°
Last column: nearest neighbours and their distance in Å.
Sites, in units of the cell vectors:
Mg1 0.0000 0.0000 0.0000  4 La 3.12
La1 0.7500 0.7500 0.7500  4 Mg 3.12, 4 Mn 3.12
Mn1 0.5000 0.5000 0.5000  4 La 3.12

No. 7
Below is an optimized crystal structure of HfTa, with properties calculated at the PBE level.

Cell: 6.2629 6.2629 6.2629 Å, 90.00 90.00 90.00°
Last column: nearest neighbours and their distance in Å.
Sites, in units of the cell vectors:
Hf1 0.7500 0.7500 0.2500  4 Ta 2.71
Hf2 0.2500 0.7500 0.7500  4 Ta 2.71
Hf3 0.7500 0.2500 0.7500  4 Ta 2.71
Hf4 0.2500 0.2500 0.2500  4 Ta 2.71
Ta1 0.5000 0.5000 0.0000  4 Hf 2.71
Ta2 0.0000 0.0000 0.0000  4 Hf 2.71
Ta3 0.0000 0.5000 0.5000  4 Hf 2.71
Ta4 0.5000 0.0000 0.5000  4 Hf 2.71

No. 8
Below is an optimized crystal structure of DyNpNi4, with properties calculated at the PBE level.

Cell: 5.0465 5.0465 5.0465 Å, 60.00 60.00 60.00°
Last column: nearest neighbours and their distance in Å.
Sites, in units of the cell vectors:
Ni1 0.6244 0.1267 0.6244  6 Ni 2.51-2.53
Ni2 0.6244 0.6244 0.1267  6 Ni 2.51-2.53
Ni3 0.6244 0.6244 0.6244  6 Ni 2.51-2.53
Ni4 0.1267 0.6244 0.6244  6 Ni 2.51-2.53
Dy1 0.0000 0.0000 0.0000  12 Ni 2.96, 4 Np 3.09
Np1 0.2500 0.2500 0.2500  12 Ni 2.96, 4 Dy 3.09

Calculated total energy readings, ordered: -33.8; -24.8; -36.4; -9.9; -44.0; -13.1; -64.2; -42.0 eV/cell
Spin magnetization readings, ordered: 0.19; 0.00; 0.40; 0.00; 0.00; 1.33; 0.80; 0.64 μB/atom